A plane-wave DFT calculation with GGA-PBE was carried out for a relaxed Tb6Sn2Rh crystal.

Geometry as CIF:
```
data_Tb6Sn2Rh
_space_group_name_H-M_alt 'I m m m'
_space_group_IT_number 71
_space_group_name_Hall '-I 2 2'
_cell_length_a 5.176
_cell_length_b 7.148
_cell_length_c 14.898
_cell_angle_alpha 90.00
_cell_angle_beta 90.00
_cell_angle_gamma 90.00
loop_
_atom_site_label
_atom_site_fract_x
_atom_site_fract_y
_atom_site_fract_z
Tb1 0.000 0.229 0.000
Tb2 0.000 0.258 0.349
Sn1 0.000 0.500 0.173
Rh1 0.000 0.500 0.500
```

Summary:
crystal system: orthorhombic
final energy: -5.238 eV per atom
E_form: -0.445 eV per atom
N(E_F): 15.21 states/eV per cell